No. 1
The following is a DFT calculation (GGA-PBE) of a relaxed Na3NbV3Se8 crystal.

a b c (Å): 8.2832 8.2832 8.2832
angles (deg): 52.75 52.75 52.75
With the nearest neighbours (Å) after each atom.
Sites, in units of the cell vectors:
Na1 0.0000 0.5000 0.5000  6 Se 2.98
Na2 0.5000 0.0000 0.5000  6 Se 2.98
Na3 0.5000 0.5000 0.0000  6 Se 2.98
Nb1 0.5000 0.5000 0.5000  6 Se 2.65
V1 0.0000 0.0000 0.5000  6 Se 2.57-2.58
V2 0.0000 0.5000 0.0000  6 Se 2.57-2.58
V3 0.5000 0.0000 0.0000  6 Se 2.57-2.58
Se1 0.2274 0.7415 0.7415  2 V 2.57, 1 Nb 2.65
Se2 0.2354 0.2354 0.2354  3 V 2.58
Se3 0.2585 0.2585 0.7726  2 V 2.57, 1 Nb 2.65
Se4 0.2585 0.7726 0.2585  2 V 2.57, 1 Nb 2.65
Se5 0.7415 0.2274 0.7415  2 V 2.57, 1 Nb 2.65
Se6 0.7415 0.7415 0.2274  2 V 2.57, 1 Nb 2.65
Se7 0.7646 0.7646 0.7646  3 V 2.58
Se8 0.7726 0.2585 0.2585  2 V 2.57, 1 Nb 2.65

Values from the calculation:
E_form (uncorrected) = -0.84 eV/atom
Space group = R-3m


No. 2
The following is a DFT calculation (GGA-PBE) of a relaxed NdMnCr2N4 crystal.

a b c (Å): 6.1498 6.1498 9.3344
angles (deg): 90.00 90.00 149.41
With the nearest neighbours (Å) after each atom.
Sites, in units of the cell vectors:
Nd1 0.0740 0.9260 0.7500  8 N 2.49-2.67
Nd2 0.9260 0.0740 0.2500  8 N 2.49-2.67
Mn1 0.2027 0.7973 0.2500  4 N 1.86-2.00
Mn2 0.7973 0.2027 0.7500  4 N 1.86-2.00
Cr1 0.4026 0.5974 0.5403  1 N 1.74
Cr2 0.4026 0.5974 0.9597  1 N 1.74
Cr3 0.5974 0.4026 0.0403  1 N 1.74
Cr4 0.5974 0.4026 0.4597  1 N 1.74
N1 0.0000 0.0000 0.0000  4 Cr 2.03
N2 0.0000 0.0000 0.5000  4 Cr 2.03
N3 0.3108 0.6892 0.1057  1 Cr 1.74, 1 Mn 1.86
N4 0.3108 0.6892 0.3943  1 Cr 1.74, 1 Mn 1.86
N5 0.3957 0.6043 0.7500  2 Cr 1.96, 2 Mn 2.00
N6 0.6043 0.3957 0.2500  2 Cr 1.96, 2 Mn 2.00
N7 0.6892 0.3108 0.6057  1 Cr 1.74, 1 Mn 1.86
N8 0.6892 0.3108 0.8943  1 Cr 1.74, 1 Mn 1.86

Values from the calculation:
E_form (uncorrected) = -0.53 eV/atom
Space group = Cmcm


No. 3
The following is a DFT calculation (GGA-PBE) of a relaxed NaIn crystal.

a b c (Å): 3.4778 5.6112 5.8970
angles (deg): 98.25 90.91 105.53
With the nearest neighbours (Å) after each atom.
Sites, in units of the cell vectors:
Na1 0.1139 0.2335 0.3674  4 Na 3.17-3.48, 7 In 3.30-3.52
Na2 0.8861 0.7665 0.6326  4 Na 3.17-3.48, 7 In 3.30-3.52
In1 0.3785 0.7366 0.1161  5 In 3.14-3.48, 6 Na 3.30-3.46
In2 0.6215 0.2634 0.8839  5 In 3.14-3.48, 6 Na 3.30-3.46

Values from the calculation:
ΔE_f = -0.10 eV per atom
Space group = P-1


No. 4
The following is a DFT calculation (GGA-PBE) of a relaxed Pm6NiI12 crystal.

a b c (Å): 9.1995 9.1995 9.1995
angles (deg): 75.27 75.27 75.27
With the nearest neighbours (Å) after each atom.
Sites, in units of the cell vectors:
Pm1 0.2783 0.2783 0.6874  1 Ni 3.14, 6 I 3.14-3.37
Pm2 0.2783 0.6874 0.2783  1 Ni 3.14, 6 I 3.14-3.37
Pm3 0.3126 0.7217 0.7217  1 Ni 3.14, 6 I 3.14-3.37
Pm4 0.6874 0.2783 0.2783  1 Ni 3.14, 6 I 3.14-3.37
Pm5 0.7217 0.3126 0.7217  1 Ni 3.14, 6 I 3.14-3.37
Pm6 0.7217 0.7217 0.3126  1 Ni 3.14, 6 I 3.14-3.37
Ni1 0.5000 0.5000 0.5000  6 Pm 3.14
I1 0.0522 0.0522 0.6736  3 Pm 3.34-3.37, 2 I 3.66
I2 0.0522 0.6736 0.0522  3 Pm 3.34-3.37, 2 I 3.66
I3 0.0755 0.6062 0.6062  3 Pm 3.14-3.15
I4 0.3264 0.9478 0.9478  3 Pm 3.34-3.37, 2 I 3.66
I5 0.3938 0.3938 0.9245  3 Pm 3.14-3.15
I6 0.3938 0.9245 0.3938  3 Pm 3.14-3.15
I7 0.6062 0.0755 0.6062  3 Pm 3.14-3.15
I8 0.6062 0.6062 0.0755  3 Pm 3.14-3.15
I9 0.6736 0.0522 0.0522  3 Pm 3.34-3.37, 2 I 3.66
I10 0.9245 0.3938 0.3938  3 Pm 3.14-3.15
I11 0.9478 0.3264 0.9478  3 Pm 3.34-3.37, 2 I 3.66
I12 0.9478 0.9478 0.3264  3 Pm 3.34-3.37, 2 I 3.66

Values from the calculation:
E_form (uncorrected) = -1.00 eV/atom
Space group = R-3m